Ti4B2H after structural relaxation, computed with GGA-PBE.

For the total energy, the calculation gives -0.5279 Ry/atom.

The space group is I4/mmm (No. 139) and the conventional cell measures 3.5524, 3.5524 and 12.7714 Å, with angles of 90.00, 90.00 and 90.00 degrees. The asymmetric unit holds Ti at (0.0000, 0.0000, 0.1850), Ti at (0.0000, 0.5000, 0.0000), B at (0.0000, 0.0000, 0.3670) and H at (0.0000, 0.0000, 0.0000).


LaTi2As2 after structural relaxation, computed with GGA-PBE.

For the total energy, the calculation gives -0.4934 Ry/atom. The energy relative to the elements comes out at -0.710 eV/atom. For the energy above the lowest structure with this stoichiometry, the calculation gives 312 meV/atom.

The space group is I4/mmm (No. 139) and the conventional cell measures 4.8840, 4.8840 and 8.9655 Å, with angles of 90.00, 90.00 and 90.00 degrees. The asymmetric unit holds La at (0.0000, 0.0000, 0.0000), Ti at (0.0000, 0.0000, 0.3485) and As at (0.0000, 0.5000, 0.2500).


K2ScOsO6 after structural relaxation, computed with GGA-PBE.

For the total energy, the calculation gives -0.5046 Ry/atom. The value obtained for the energy relative to the elements, uncorrected is -1.915 eV per atom.

The space group is Fm-3m (No. 225) and the conventional cell measures 8.0598, 8.0598 and 8.0598 Å, with angles of 90.00, 90.00 and 90.00 degrees. The asymmetric unit holds K at (0.2500, 0.2500, 0.2500), Sc at (0.0000, 0.0000, 0.0000), Os at (0.0000, 0.0000, 0.5000) and O at (0.0000, 0.0000, 0.2634).


> What is the formula in the third record?

K2ScOsO6